(1)
Below is a geometry-optimized Th2Ge4Pd3Ru structure, with properties calculated at the PBE level.

Calculated values
Its crystal system is tetragonal. The calculation puts the formation energy at -0.757 eV/atom. The mass density comes out at 10.3 Mg/m³. For the total moment, the calculation gives 0.0 μB per formula unit. The calculation puts the energy at -65.73 eV for the cell shown.

Lattice parameters (Å, degrees): 4.276 4.276 10.395 90.00 90.00 90.00
Sites, in units of the cell vectors:
Ge (0.500, 0.000, 0.631)
Ge (0.000, 0.500, 0.369)
Ge (0.000, 0.000, 0.000)
Ge (0.500, 0.500, 0.000)
Pd (0.500, 0.000, 0.869)
Pd (0.000, 0.500, 0.131)
Pd (0.000, 0.000, 0.500)
Th (0.000, 0.500, 0.744)
Th (0.500, 0.000, 0.256)
Ru (0.500, 0.500, 0.500)

---

(2)
Below is a geometry-optimized TmGePdRu structure, with properties calculated at the PBE level.

Calculated values
Its crystal system is cubic. The calculation puts the formation energy at -0.513 eV/atom. The mass density comes out at 11.1 Mg/m³. For the total moment, the calculation gives 0.0 μB per formula unit. The calculation puts the energy at -25.61 eV for the cell shown.

Lattice parameters (Å, degrees): 4.565 4.565 4.565 60.00 60.00 60.00
Sites, in units of the cell vectors:
Tm (0.500, 0.500, 0.500)
Pd (0.750, 0.750, 0.750)
Ge (0.000, 0.000, 0.000)
Ru (0.250, 0.250, 0.250)

---

(3)
Below is a geometry-optimized YGe2PdRu structure, with properties calculated at the PBE level.

Calculated values
Its crystal system is tetragonal. The calculation puts the formation energy at -0.706 eV/atom. The mass density comes out at 8.1 Mg/m³. For the total moment, the calculation gives 0.0 μB per formula unit. The calculation puts the energy at -33.70 eV for the cell shown.

Lattice parameters (Å, degrees): 4.155 4.155 6.006 110.24 110.24 90.00
Sites, in units of the cell vectors:
Pd (0.750, 0.250, 0.500)
Y (0.000, 0.000, 0.000)
Ge (0.621, 0.621, 0.241)
Ge (0.379, 0.379, 0.759)
Ru (0.250, 0.750, 0.500)

---

(4)
Below is a geometry-optimized ZnGePdRu structure, with properties calculated at the PBE level.

Calculated values
Its crystal system is cubic. The calculation puts the formation energy at -0.265 eV/atom. The mass density comes out at 10.0 Mg/m³. For the total moment, the calculation gives 0.0 μB per formula unit. The calculation puts the energy at -21.42 eV for the cell shown.

Lattice parameters (Å, degrees): 4.322 4.322 4.322 60.00 60.00 60.00
Sites, in units of the cell vectors:
Pd (0.000, 0.000, 0.000)
Zn (0.750, 0.750, 0.750)
Ge (0.250, 0.250, 0.250)
Ru (0.500, 0.500, 0.500)

---

(5)
Below is a geometry-optimized GePdS structure, with properties calculated at the PBE level.

Calculated values
Its crystal system is orthorhombic. The mass density comes out at 5.9 Mg/m³. The formation energy (no corrections) comes out at -234 meV/atom. For the total moment, the calculation gives 0.0 μB per formula unit. The calculation puts the energy at -29.28 eV for the cell shown.

Lattice parameters (Å, degrees): 5.445 3.375 6.502 90.00 90.00 90.00
Sites, in units of the cell vectors:
Ge (0.789, 0.754, 0.671)
Ge (0.002, 0.255, 0.171)
S (0.487, 0.254, 0.595)
S (0.305, 0.755, 0.095)
Pd (0.644, 0.254, 0.947)
Pd (0.148, 0.754, 0.447)

---

(6)
Below is a geometry-optimized GePd3S structure, with properties calculated at the PBE level.

Calculated values
Its crystal system is cubic. The mass density comes out at 7.6 Mg/m³. The formation energy (no corrections) comes out at -18 meV/atom. For the total moment, the calculation gives 0.0 μB per formula unit. The calculation puts the energy at -24.41 eV for the cell shown. The value obtained for the excess energy over the best structure of this formula in the dataset is 0.259 eV per atom.

Lattice parameters (Å, degrees): 4.529 4.529 4.529 90.00 90.00 90.00
Sites, in units of the cell vectors:
Pd (0.500, 0.000, 0.000)
Pd (0.000, 0.500, 0.000)
Pd (0.000, 0.000, 0.500)
S (0.000, 0.000, 0.000)
Ge (0.500, 0.500, 0.500)

---

(7)
Below is a geometry-optimized GePdS structure, with properties calculated at the PBE level.

Calculated values
Its crystal system is trigonal. The mass density comes out at 5.9 Mg/m³. The formation energy (no corrections) comes out at -292 meV/atom. For the total moment, the calculation gives 0.0 μB per formula unit. The calculation puts the energy at -44.44 eV for the cell shown.

Lattice parameters (Å, degrees): 3.884 3.884 13.641 90.00 90.00 120.00
Sites, in units of the cell vectors:
Ge (0.667, 0.333, 0.504)
Ge (0.000, 0.000, 0.171)
Ge (0.333, 0.667, 0.838)
S (0.333, 0.667, 0.005)
S (0.000, 0.000, 0.338)
S (0.667, 0.333, 0.671)
Pd (0.667, 0.333, 0.089)
Pd (0.000, 0.000, 0.756)
Pd (0.333, 0.667, 0.422)

---

(8)
Below is a geometry-optimized GePd8S2 structure, with properties calculated at the PBE level.

Calculated values
Its crystal system is monoclinic. The mass density comes out at 9.3 Mg/m³. The formation energy (no corrections) comes out at -188 meV/atom. For the total moment, the calculation gives 0.0 μB per formula unit. The calculation puts the energy at -56.48 eV for the cell shown.

Lattice parameters (Å, degrees): 4.913 7.060 7.060 47.04 80.05 80.05
Sites, in units of the cell vectors:
Pd (0.209, 0.409, 0.409)
Pd (0.296, 0.835, 0.345)
Pd (0.704, 0.165, 0.655)
Pd (0.181, 0.797, 0.797)
Pd (0.819, 0.203, 0.203)
Pd (0.296, 0.345, 0.835)
Pd (0.791, 0.591, 0.591)
Pd (0.704, 0.655, 0.165)
Ge (0.000, 0.000, 0.000)
S (0.323, 0.229, 0.229)
S (0.677, 0.771, 0.771)

---

(9)
Below is a geometry-optimized GePdS structure, with properties calculated at the PBE level.

Calculated values
Its crystal system is trigonal. The mass density comes out at 6.3 Mg/m³. The formation energy (no corrections) comes out at -298 meV/atom. For the total moment, the calculation gives 0.0 μB per formula unit. The calculation puts the energy at -29.66 eV for the cell shown.

Lattice parameters (Å, degrees): 3.673 3.673 9.488 90.00 90.00 120.00
Sites, in units of the cell vectors:
Pd (0.000, 0.000, 0.710)
Pd (0.000, 0.000, 0.000)
Ge (0.667, 0.333, 0.389)
Ge (0.667, 0.333, 0.860)
S (0.000, 0.000, 0.247)
S (0.333, 0.667, 0.556)

---

(10)
Below is a geometry-optimized GePd3S structure, with properties calculated at the PBE level.

Calculated values
Its crystal system is monoclinic. The mass density comes out at 8.3 Mg/m³. The formation energy (no corrections) comes out at -277 meV/atom. For the total moment, the calculation gives 0.0 μB per formula unit. The calculation puts the energy at -51.41 eV for the cell shown. The value obtained for the excess energy over the best structure of this formula in the dataset is 0.000 eV per atom.

Lattice parameters (Å, degrees): 3.263 6.856 7.746 92.58 102.16 90.00
Sites, in units of the cell vectors:
Ge (0.809, 0.250, 0.617)
Ge (0.191, 0.750, 0.383)
S (0.436, 0.688, 0.872)
S (0.564, 0.312, 0.128)
Pd (0.965, 0.178, 0.930)
Pd (0.660, 0.029, 0.319)
Pd (0.806, 0.623, 0.612)
Pd (0.194, 0.377, 0.388)
Pd (0.035, 0.822, 0.070)
Pd (0.340, 0.971, 0.681)

---

(11)
Below is a geometry-optimized GePdS structure, with properties calculated at the PBE level.

Calculated values
Its crystal system is monoclinic. The mass density comes out at 6.5 Mg/m³. The formation energy (no corrections) comes out at -231 meV/atom. For the total moment, the calculation gives 0.0 μB per formula unit. The calculation puts the energy at -29.26 eV for the cell shown.

Lattice parameters (Å, degrees): 4.633 3.305 7.039 90.00 95.34 90.00
Sites, in units of the cell vectors:
Ge (0.777, 0.000, 0.388)
Ge (0.777, 0.500, 0.888)
Pd (0.483, 0.000, 0.664)
Pd (0.483, 0.500, 0.164)
S (0.161, 0.500, 0.432)
S (0.161, 0.000, 0.932)

---

(12)
Below is a geometry-optimized Ge5Pd12S2 structure, with properties calculated at the PBE level.

Calculated values
Its crystal system is monoclinic. The mass density comes out at 8.9 Mg/m³. The formation energy (no corrections) comes out at -315 meV/atom. For the total moment, the calculation gives 0.0 μB per formula unit. The calculation puts the energy at -99.65 eV for the cell shown.

Lattice parameters (Å, degrees): 7.295 7.680 6.862 106.94 90.00 118.35
Sites, in units of the cell vectors:
Pd (0.527, 0.054, 0.773)
Pd (0.887, 0.380, 0.136)
Pd (0.493, 0.380, 0.136)
Pd (0.590, 0.759, 0.474)
Pd (0.169, 0.759, 0.474)
Pd (0.507, 0.620, 0.864)
Pd (0.831, 0.241, 0.526)
Pd (0.410, 0.241, 0.526)
Pd (0.919, 0.838, 0.782)
Pd (0.113, 0.620, 0.864)
Pd (0.473, 0.946, 0.227)
Pd (0.081, 0.162, 0.218)
Ge (0.280, 0.560, 0.153)
Ge (0.000, 0.000, 0.500)
Ge (0.763, 0.525, 0.447)
Ge (0.237, 0.475, 0.553)
Ge (0.720, 0.440, 0.847)
S (0.260, 0.000, 0.000)
S (0.740, 0.000, 0.000)

---

> Which value of mass density does entry 6 give?

7.6 Mg/m³